Computed, not measured: a relaxed PuInFe crystal at the PBE level of DFT.

abc: 4.487 4.487 4.487
angles: 60.00 60.00 60.00
Fractional coordinates of all 3 atoms:
Fe1 0.000 0.000 0.000
In1 0.500 0.500 0.500
Pu1 0.750 0.750 0.750

The value obtained for the energy is -6.673 eV/atom. The space group is F-43m.